A plane-wave DFT calculation with PBE-GGA was carried out for a relaxed LiAgSnPd crystal.

Output
The calculation puts the formation energy at -9.5 kcal/mol of atoms. The calculation puts the total DFT energy (no corrections) at -3.9008 eV/atom. Its magnetization is 0.0 μB per cell. Its space-group type is F-43m. The theoretical density comes out at 8.248 g/cm³.

The structure in POSCAR format:
```
LiAgSnPd
1.0
0.0000 3.2466 3.2466
3.2466 0.0000 3.2466
3.2466 3.2466 0.0000
Li Ag Sn Pd
1 1 1 1
direct
0.0000 0.0000 0.0000 Li
0.7500 0.7500 0.7500 Ag
0.5000 0.5000 0.5000 Sn
0.2500 0.2500 0.2500 Pd
```

A plane-wave DFT calculation with PBE-GGA was carried out for a relaxed LiAgSn2Pd4 crystal.

Output
The calculation puts the formation energy at -11.8 kcal/mol of atoms. The calculation puts the total DFT energy (no corrections) at -4.7055 eV/atom. Its magnetization is 0.0 μB per cell. Its space-group type is R-3m. The theoretical density comes out at 9.746 g/cm³.

The structure in POSCAR format:
```
LiAgSn2Pd4
1.0
2.2692 1.3101 7.4304
-2.2692 1.3101 7.4304
0.0000 -2.6203 7.4304
Li Ag Sn Pd
1 1 2 4
direct
0.0000 0.0000 0.0000 Li
0.5000 0.5000 0.5000 Ag
0.2502 0.2502 0.2502 Sn
0.7498 0.7498 0.7498 Sn
0.1198 0.1198 0.1198 Pd
0.3727 0.3727 0.3727 Pd
0.6273 0.6273 0.6273 Pd
0.8802 0.8802 0.8802 Pd
```

A plane-wave DFT calculation with PBE-GGA was carried out for a relaxed Sr2LiAgPd6 crystal.

Output
The calculation puts the formation energy at -2.3 kcal/mol of atoms. The calculation puts the total DFT energy (no corrections) at -4.0263 eV/atom. Its magnetization is 0.0 μB per cell. Its space-group type is Immm. The theoretical density comes out at 7.255 g/cm³.

The structure in POSCAR format:
```
Sr2LiAgPd6
1.0
-3.3411 3.3574 4.7371
3.3411 -3.3574 4.7371
3.3411 3.3574 -4.7371
Sr Li Ag Pd
2 1 1 6
direct
0.2499 0.2499 0.0000 Sr
0.7501 0.7501 0.0000 Sr
0.5000 0.0000 0.5000 Li
0.0000 0.5000 0.5000 Ag
0.2710 0.2288 0.4998 Pd
0.2710 0.7712 0.0422 Pd
0.2711 0.7711 0.5000 Pd
0.7289 0.2289 0.5000 Pd
0.7290 0.2288 0.9578 Pd
0.7290 0.7712 0.5002 Pd
```

A plane-wave DFT calculation with PBE-GGA was carried out for a relaxed SrLiAg2Pd crystal.

Output
The calculation puts the formation energy at -7.2 kcal/mol of atoms. The calculation puts the total DFT energy (no corrections) at -3.2122 eV/atom. Its magnetization is 0.0 μB per cell. Its space-group type is Imm2. The theoretical density comes out at 6.196 g/cm³.

The structure in POSCAR format:
```
SrLiAg2Pd
1.0
-2.0554 2.1109 6.4348
2.0554 -2.1109 6.4348
2.0554 2.1109 -6.4348
Sr Li Ag Pd
1 1 2 1
direct
0.0000 0.0000 0.0000 Sr
0.2732 0.7732 0.5000 Li
0.6248 0.6248 0.0000 Ag
0.7729 0.2729 0.5000 Ag
0.4123 0.4123 0.0000 Pd
```